Entry 1:
A relaxed Na2GaCl5 crystal. Source: Alexandria via LeMat-Bulk, functional PBE-GGA.

Unit cell a=8.202 b=11.356 c=11.662 alpha=90.00 beta=90.00 gamma=90.00
Last column: magnetic moment on the atom in μB.
Element x y z (fractional)
1 Cl 0.000 0.116 0.405  0.00
2 Cl 0.000 0.884 0.595  0.00
3 Cl 0.283 0.277 0.656  0.00
4 Cl 0.000 0.108 0.874  0.05
5 Cl 0.500 0.076 0.847  0.00
6 Cl 0.717 0.277 0.656  0.00
7 Ga 0.000 0.752 0.735  0.00
8 Cl 0.500 0.392 0.374  0.05
9 Na 0.281 0.500 0.500  0.00
10 Cl 0.283 0.723 0.344  0.00
11 Ga 0.000 0.248 0.265  0.00
12 Cl 0.217 0.777 0.844  0.00
13 Cl 0.000 0.576 0.653  0.00
14 Na 0.219 0.000 0.000  0.00
15 Cl 0.717 0.723 0.344  0.00
16 Ga 0.500 0.252 0.765  0.00
17 Na 0.719 0.500 0.500  0.00
18 Cl 0.500 0.616 0.095  0.00
19 Na 0.000 0.870 0.344  0.00
20 Na 0.000 0.130 0.656  0.00
21 Cl 0.783 0.777 0.844  0.00
22 Cl 0.500 0.608 0.626  0.05
23 Cl 0.000 0.424 0.347  0.00
24 Cl 0.783 0.223 0.156  0.00
25 Cl 0.000 0.892 0.126  0.05
26 Cl 0.500 0.384 0.905  0.00
27 Cl 0.500 0.924 0.153  0.00
28 Na 0.500 0.630 0.844  0.00
29 Ga 0.500 0.748 0.235  0.00
30 Na 0.500 0.370 0.156  0.00
31 Na 0.781 0.000 0.000  0.00
32 Cl 0.217 0.223 0.156  0.00

Calculated values
ΔE_f (raw) (eV/atom): -1.445
Energy above the most stable polymorph in this dataset (meV/atom): 0
Calculated total energy (eV per cell): -105.83
Total moment (μB/atom): 0.010

***

Entry 2:
A relaxed Sr2Cu4AsP3 crystal. Source: Alexandria via LeMat-Bulk, functional PBE-GGA.

Unit cell a=4.217 b=4.217 c=9.862 alpha=90.00 beta=90.00 gamma=90.00
Element x y z (fractional)
1 Cu 0.500 0.500 0.000
2 P 0.000 0.000 0.500
3 P 0.500 0.000 0.871
4 Cu 0.500 0.000 0.631
5 Cu 0.000 0.500 0.369
6 Sr 0.500 0.000 0.244
7 As 0.500 0.500 0.500
8 P 0.000 0.500 0.129
9 Sr 0.000 0.500 0.756
10 Cu 0.000 0.000 0.000

Calculated values
Energy relative to the elements (kJ/mol of formula units): -518
Calculated total energy (eV per cell): -46.00
Total moment (μB/atom): 0.000

***

Entry 3:
A relaxed NaFeSiHg2 crystal. Source: Alexandria via LeMat-Bulk, functional PBE-GGA.

Unit cell a=5.162 b=4.538 c=5.162 alpha=90.00 beta=90.00 gamma=90.00
Last column: magnetic moment on the atom in μB.
Element x y z (fractional)
1 Hg 0.000 0.000 0.500  0.00
2 Na 0.500 0.500 0.500  -0.01
3 Hg 0.500 0.000 0.000  -0.01
4 Fe 0.000 0.500 0.000  2.64
5 Si 0.000 0.000 0.000  -0.06

Calculated values
ΔE_f (raw) (eV/atom): 0.380
Calculated total energy (eV per cell): -13.91
Total moment (μB/atom): 0.497

***

Number 1: ρ 1.8 g/cm3. Number 2: ρ 5.7 g/cm3. Number 3: ρ 7.0 g/cm3.